Entry 1:
Compound: YHo4Zn
Source: the Alexandria database
Functional: PBE
Structure: optimized geometry

a b c (Å): 3.5382 3.5382 13.6387
angles (deg): 90.00 90.00 90.00
Last column: nearest neighbours and their distance in Å.
Space group P4/mmm (No. 123)
One atom of each set of equivalent atoms:
Y  0.0000  0.0000  0.0000  4 Y 3.54, 8 Ho 3.55
Ho  0.0000  0.0000  0.3699  4 Zn 3.07
Ho  0.5000  0.5000  0.1846  8 Ho 3.54-3.56, 4 Y 3.55
Zn  0.5000  0.5000  0.5000  8 Ho 3.07

Properties
The calculation puts the density of states at the Fermi level at 7.716 states/eV per cell. The spin magnetization comes out at 0.000 μB/f.u.

Entry 2:
Compound: YHo4Zn5
Source: the Alexandria database
Functional: PBE
Structure: optimized geometry

a b c (Å): 3.5590 3.5590 17.7895
angles (deg): 90.00 90.00 90.00
Last column: nearest neighbours and their distance in Å.
Space group P4/mmm (No. 123)
One atom of each set of equivalent atoms:
Y  0.0000  0.0000  0.0000  8 Zn 3.10
Ho  0.0000  0.0000  0.2011  8 Zn 3.07-3.08
Ho  0.0000  0.0000  0.4004  8 Zn 3.08
Zn  0.5000  0.5000  0.1020  4 Ho 3.07, 4 Y 3.10
Zn  0.5000  0.5000  0.3006  8 Ho 3.08
Zn  0.5000  0.5000  0.5000  8 Ho 3.08

Properties
The calculation puts the density of states at the Fermi level at 11.736 states/eV per cell. The spin magnetization comes out at 0.001 μB/f.u.

Entry 3:
Compound: YHoZn2
Source: the Alexandria database
Functional: PBE
Structure: optimized geometry

a b c (Å): 7.1355 7.1355 7.1355
angles (deg): 90.00 90.00 90.00
Last column: nearest neighbours and their distance in Å.
Space group Fm-3m (No. 225)
One atom of each set of equivalent atoms:
Y  0.0000  0.0000  0.0000  8 Zn 3.09
Ho  0.0000  0.0000  0.5000  8 Zn 3.09
Zn  0.2500  0.2500  0.2500  4 Ho 3.09, 4 Y 3.09

Properties
The calculation puts the density of states at the Fermi level at 14.328 states/eV per cell. Its polymorph energy (0 for the lowest one) is 0.0 meV/atom. The spin magnetization comes out at 0.000 μB/f.u.

Entry 4:
Compound: Y2Ho3Zn3
Source: the Alexandria database
Functional: PBE
Structure: optimized geometry

a b c (Å): 3.6030 5.1554 21.4026
angles (deg): 90.00 90.00 90.00
Last column: nearest neighbours and their distance in Å.
Space group Immm (No. 71)
One atom of each set of equivalent atoms:
Y  0.0000  0.0000  0.2280  2 Zn 3.03, 4 Y 3.28
Ho  0.0000  0.0000  0.0000  8 Zn 3.04-3.14
Ho  0.0000  0.5000  0.1173  6 Zn 3.09-3.15
Zn  0.0000  0.0000  0.5000  8 Ho 3.09-3.14
Zn  0.0000  0.5000  0.3857  2 Y 3.03, 6 Ho 3.04-3.15

Properties
The calculation puts the density of states at the Fermi level at 18.580 states/eV per cell. The spin magnetization comes out at 0.000 μB/f.u.

Entry 5:
Compound: YHo2Zn8
Source: the Alexandria database
Functional: PBE
Structure: optimized geometry

a b c (Å): 7.5982 14.7055 4.7993
angles (deg): 90.00 129.12 90.00
Last column: nearest neighbours and their distance in Å.
Space group C2/m (No. 12)
One atom of each set of equivalent atoms:
Y  0.0000  0.0000  0.0000  6 Zn 2.92-3.19
Ho  0.0000  0.3080  0.5000  12 Zn 2.89-3.07
Zn  0.0000  0.1988  0.0000  4 Ho 2.89-2.95, 1 Y 2.92, 6 Zn 2.96-3.07
Zn  0.0014  0.5000  0.2512  2 Zn 2.40
Zn  0.2279  0.1235  0.7284  5 Zn 2.69-2.97

Properties
The calculation puts the density of states at the Fermi level at 10.020 states/eV per cell. The spin magnetization comes out at 0.000 μB/f.u.

Entry 6:
Compound: Y9Ho4Zn11
Source: the Alexandria database
Functional: PBE
Structure: optimized geometry

a b c (Å): 15.3501 21.2603 3.4540
angles (deg): 90.00 90.00 90.00
Last column: nearest neighbours and their distance in Å.
Space group Cmmm (No. 65)
One atom of each set of equivalent atoms:
Y  0.0000  0.0000  0.0000  4 Ho 3.16, 4 Zn 3.28, 2 Y 3.45
Y  0.1149  0.2381  0.0000  8 Zn 3.06-3.36, 1 Ho 3.29
Y  0.1150  0.4097  0.0000  8 Zn 3.05-3.18, 1 Ho 3.36
Ho  0.1664  0.0878  0.0000  6 Zn 3.03-3.22, 3 Y 3.16-3.36
Zn  0.0000  0.1310  0.5000  4 Ho 3.22, 6 Y 3.28-3.36, 2 Zn 3.45
Zn  0.0000  0.3253  0.5000  8 Y 3.05-3.09
Zn  0.0000  0.5000  0.5000  8 Y 3.13, 4 Zn 3.41-3.45
Zn  0.2222  0.5000  0.5000  4 Y 3.06, 4 Ho 3.06, 1 Zn 3.41
Zn  0.2354  0.3191  0.5000  1 Zn 2.97, 2 Ho 3.03, 6 Y 3.06-3.18

Properties
The calculation puts the density of states at the Fermi level at 50.883 states/eV per cell. The spin magnetization comes out at 0.167 μB/f.u.

no.,DFT formation energy (meV per atom)
1,-97.5
2,-346.4
3,-356.9
4,-245.6
5,-320.4
6,-255.5